Record 1
CaNiOs2 | PBE-GGA | optimized geometry

It has space group I-4m2 (No. 119), with a = 4.3302 Å, b = 4.3302 Å, c = 6.6300 Å, α = 90.00°, β = 90.00° and γ = 90.00°. The distinct sites, in fractional coordinates, are Ca at (0.0000, 0.0000, 0.0000), Ni at (0.0000, 0.5000, 0.7500), Os at (0.0000, 0.0000, 0.5000) and Os at (0.0000, 0.5000, 0.2500).

The crystal system is tetragonal. The total magnetization is 0.000 μB/f.u. Its energy of formation is 547 meV per atom. The distance to the lowest polymorph of the same formula is 260 meV per atom.

Record 2
CaNiOs2 | PBE-GGA | optimized geometry

It has space group P4/mmm (No. 123), with a = 3.7692 Å, b = 3.7692 Å, c = 4.4615 Å, α = 90.00°, β = 90.00° and γ = 90.00°. The distinct sites, in fractional coordinates, are Ca at (0.0000, 0.0000, 0.0000), Ni at (0.5000, 0.5000, 0.0000) and Os at (0.0000, 0.5000, 0.5000).

The crystal system is tetragonal. The total magnetization is 0.000 μB/f.u. Its energy of formation is 589 meV per atom. The distance to the lowest polymorph of the same formula is 302 meV per atom.

Record 3
CaNiOs2 | PBE-GGA | optimized geometry

It has space group Pmm2 (No. 25), with a = 2.7983 Å, b = 3.7474 Å, c = 6.4321 Å, α = 90.00°, β = 90.00° and γ = 90.00°. The distinct sites, in fractional coordinates, are Ca at (0.0000, 0.0000, 0.0000), Ni at (0.5000, 0.5000, 0.2781), Os at (0.0000, 0.0000, 0.4950) and Os at (0.5000, 0.5000, 0.6660).

The crystal system is orthorhombic. The total magnetization is 0.000 μB/f.u. Its energy of formation is 316 meV per atom. The distance to the lowest polymorph of the same formula is 29 meV per atom.

Record 4
Ca4NiOs | PBE-GGA | optimized geometry

It has space group F-43m (No. 216), with a = 8.3930 Å, b = 8.3930 Å, c = 8.3930 Å, α = 90.00°, β = 90.00° and γ = 90.00°. The distinct sites, in fractional coordinates, are Ca at (0.1242, 0.1242, 0.3758), Ni at (0.0000, 0.0000, 0.0000) and Os at (0.2500, 0.2500, 0.7500).

The crystal system is cubic. The total magnetization is 0.027 μB/f.u. Its energy of formation is 1198 meV per atom.

Record 5
Ca2NiOs | PBE-GGA | optimized geometry

It has space group I-42d (No. 122), with a = 7.7081 Å, b = 7.7081 Å, c = 5.5043 Å, α = 90.00°, β = 90.00° and γ = 90.00°. The distinct sites, in fractional coordinates, are Ca at (0.2235, 0.2500, 0.1250), Ni at (0.0000, 0.0000, 0.0000) and Os at (0.0000, 0.0000, 0.5000).

The crystal system is tetragonal. The total magnetization is 1.348 μB/f.u. Its energy of formation is 739 meV per atom. The distance to the lowest polymorph of the same formula is 571 meV per atom.

Record 6
Ca2NiOs | PBE-GGA | optimized geometry

It has space group P2/m (No. 10), with a = 5.2517 Å, b = 2.8203 Å, c = 5.6684 Å, α = 90.00°, β = 107.42° and γ = 90.00°. The distinct sites, in fractional coordinates, are Ca at (0.0000, 0.0000, 0.0000), Ca at (0.5000, 0.5000, 0.5000), Ni at (0.0000, 0.0000, 0.5000) and Os at (0.5000, 0.5000, 0.0000).

The crystal system is monoclinic. The total magnetization is 0.000 μB/f.u. Its energy of formation is 651 meV per atom. The distance to the lowest polymorph of the same formula is 484 meV per atom.

Record 7
Ca2NiOs | PBE-GGA | optimized geometry

It has space group Amm2 (No. 38), with a = 4.2078 Å, b = 4.4831 Å, c = 9.9705 Å, α = 90.00°, β = 90.00° and γ = 90.00°. The distinct sites, in fractional coordinates, are Ca at (0.0000, 0.0000, 0.0000), Ca at (0.5000, 0.0000, 0.2911), Ni at (0.0000, 0.0000, 0.6902) and Os at (0.5000, 0.0000, 0.6011).

The crystal system is orthorhombic. The total magnetization is 0.000 μB/f.u. Its energy of formation is 168 meV per atom. The distance to the lowest polymorph of the same formula is 0 meV per atom.

Record 8
Ca2NiOs | PBE-GGA | optimized geometry

It has space group Immm (No. 71), with a = 4.4448 Å, b = 4.4578 Å, c = 7.9946 Å, α = 90.00°, β = 90.00° and γ = 90.00°. The distinct sites, in fractional coordinates, are Ca at (0.0000, 0.0000, 0.2504), Ni at (0.0000, 0.5000, 0.0000) and Os at (0.0000, 0.5000, 0.5000).

The crystal system is orthorhombic. The total magnetization is 0.635 μB/f.u. Its energy of formation is 511 meV per atom. The distance to the lowest polymorph of the same formula is 343 meV per atom.

Record 9
Ca2NiOs | PBE-GGA | optimized geometry

It has space group Fm-3m (No. 225), with a = 6.8446 Å, b = 6.8446 Å, c = 6.8446 Å, α = 90.00°, β = 90.00° and γ = 90.00°. The distinct sites, in fractional coordinates, are Ca at (0.2500, 0.2500, 0.2500), Ni at (0.0000, 0.0000, 0.0000) and Os at (0.0000, 0.0000, 0.5000).

The crystal system is cubic. The total magnetization is 0.000 μB/f.u. Its energy of formation is 517 meV per atom. The distance to the lowest polymorph of the same formula is 349 meV per atom.

Record 10
CaNiOs2 | PBE-GGA | optimized geometry

It has space group Immm (No. 71), with a = 2.7424 Å, b = 4.4813 Å, c = 10.2210 Å, α = 90.00°, β = 90.00° and γ = 90.00°. The distinct sites, in fractional coordinates, are Ca at (0.0000, 0.0000, 0.0000), Ni at (0.0000, 0.0000, 0.5000) and Os at (0.0000, 0.5000, 0.2154).

The crystal system is orthorhombic. The total magnetization is 0.000 μB/f.u. Its energy of formation is 287 meV per atom. The distance to the lowest polymorph of the same formula is 0 meV per atom.

Record 11
CaNi2Os | PBE-GGA | optimized geometry

It has space group Pm (No. 6), with a = 2.7190 Å, b = 4.2501 Å, c = 5.3646 Å, α = 90.00°, β = 104.04° and γ = 90.00°. The distinct sites, in fractional coordinates, are Ca at (0.0000, 0.0000, 0.0000), Ni at (0.6058, 0.5000, 0.2176), Ni at (0.7353, 0.0000, 0.4968) and Os at (0.2988, 0.5000, 0.6196).

The crystal system is monoclinic. The total magnetization is 0.000 μB/f.u. Its energy of formation is 232 meV per atom. The distance to the lowest polymorph of the same formula is 28 meV per atom.

Record 12
CaNi2Os | PBE-GGA | optimized geometry

It has space group Imm2 (No. 44), with a = 2.6933 Å, b = 4.5484 Å, c = 9.7105 Å, α = 90.00°, β = 90.00° and γ = 90.00°. The distinct sites, in fractional coordinates, are Ca at (0.0000, 0.0000, 0.0000), Ni at (0.0000, 0.0000, 0.4930), Ni at (0.0000, 0.5000, 0.7723) and Os at (0.0000, 0.5000, 0.2150).

The crystal system is orthorhombic. The total magnetization is 0.003 μB/f.u. Its energy of formation is 318 meV per atom. The distance to the lowest polymorph of the same formula is 115 meV per atom.